No. 1
A geometry-optimized HfPPtCl2 structure. Source: Alexandria, functional PBE.

a = 4.7587 Å, b = 4.7587 Å, c = 5.2780 Å
α = 90.00°, β = 90.00°, γ = 90.00°
Closest atoms and distances in Å follow each position.
Fractional coordinates of all 5 atoms:
P1 0.0000 0.0000 0.5000  2 Hf 2.64
Cl1 0.0000 0.5000 0.0000  2 Hf 2.38
Cl2 0.5000 0.0000 0.0000  2 Hf 2.38
Pt1 0.5000 0.5000 0.5000  4 P 3.36, 8 Cl 3.55
Hf1 0.0000 0.0000 0.0000  4 Cl 2.38, 2 P 2.64

As for the symmetry: P4/mmm (123). The energy above the most stable polymorph in this dataset is 0 meV per atom. The calculation puts the formation energy from raw total energies at 15 meV per atom.


No. 2
A geometry-optimized HfP2PtCl structure. Source: Alexandria, functional PBE.

a = 4.6778 Å, b = 4.6778 Å, c = 4.7017 Å
α = 90.00°, β = 90.00°, γ = 90.00°
Closest atoms and distances in Å follow each position.
Fractional coordinates of all 5 atoms:
P1 0.5000 0.0000 0.0000  2 Pt 2.34
P2 0.0000 0.5000 0.0000  2 Pt 2.34
Hf1 0.5000 0.5000 0.5000  4 Cl 3.31, 8 P 3.32
Cl1 0.0000 0.0000 0.5000  2 Pt 2.35
Pt1 0.0000 0.0000 0.0000  4 P 2.34, 2 Cl 2.35

As for the symmetry: P4/mmm (123). The energy above the most stable polymorph in this dataset is 5 meV per atom. The calculation puts the formation energy from raw total energies at 444 meV per atom.


No. 3
A geometry-optimized HfP2PtCl structure. Source: Alexandria, functional PBE.

a = 5.0292 Å, b = 5.0292 Å, c = 4.7067 Å
α = 90.00°, β = 90.00°, γ = 90.00°
Closest atoms and distances in Å follow each position.
Fractional coordinates of all 5 atoms:
Pt1 0.5000 0.5000 0.5000  8 P 3.44, 4 Cl 3.56
Cl1 0.0000 0.0000 0.5000  2 Hf 2.35
Hf1 0.0000 0.0000 0.0000  2 Cl 2.35, 4 P 2.51
P1 0.0000 0.5000 0.0000  2 Hf 2.51
P2 0.5000 0.0000 0.0000  2 Hf 2.51

As for the symmetry: P4/mmm (123). The energy above the most stable polymorph in this dataset is 0 meV per atom. The calculation puts the formation energy from raw total energies at 439 meV per atom.


No. 4
A geometry-optimized HfPPtCl2 structure. Source: Alexandria, functional PBE.

a = 4.6952 Å, b = 4.6952 Å, c = 4.9069 Å
α = 90.00°, β = 90.00°, γ = 90.00°
Closest atoms and distances in Å follow each position.
Fractional coordinates of all 5 atoms:
P1 0.0000 0.0000 0.5000  2 Pt 2.45
Cl1 0.5000 0.0000 0.0000  2 Pt 2.35
Cl2 0.0000 0.5000 0.0000  2 Pt 2.35
Pt1 0.0000 0.0000 0.0000  4 Cl 2.35, 2 P 2.45
Hf1 0.5000 0.5000 0.5000  4 P 3.32, 8 Cl 3.40

As for the symmetry: P4/mmm (123). The energy above the most stable polymorph in this dataset is 396 meV per atom. The calculation puts the formation energy from raw total energies at 411 meV per atom.


No. 5
A geometry-optimized RbHfPCl2 structure. Source: Alexandria, functional PBE.

a = 5.1875 Å, b = 5.1875 Å, c = 5.0146 Å
α = 90.00°, β = 90.00°, γ = 90.00°
Closest atoms and distances in Å follow each position.
Fractional coordinates of all 5 atoms:
Hf1 0.0000 0.0000 0.0000  2 P 2.51, 4 Cl 2.59
Cl1 0.5000 0.0000 0.0000  2 Hf 2.59
Cl2 0.0000 0.5000 0.0000  2 Hf 2.59
Rb1 0.5000 0.5000 0.5000  8 Cl 3.61, 4 P 3.67
P1 0.0000 0.0000 0.5000  2 Hf 2.51

As for the symmetry: P4/mmm (123). The energy above the most stable polymorph in this dataset is 0 meV per atom. The calculation puts the formation energy from raw total energies at -1177 meV per atom.


No. 6
A geometry-optimized RbHf2PCl structure. Source: Alexandria, functional PBE.

a = 4.7793 Å, b = 5.6393 Å, c = 4.7793 Å
α = 90.00°, β = 90.00°, γ = 90.00°
Closest atoms and distances in Å follow each position.
Fractional coordinates of all 5 atoms:
Cl1 0.0000 0.0000 0.0000  4 Hf 2.39
P1 0.5000 0.5000 0.5000  4 Rb 3.38, 8 Hf 3.70
Rb1 0.0000 0.5000 0.0000  2 Cl 2.82
Hf1 0.5000 0.0000 0.0000  2 Cl 2.39
Hf2 0.0000 0.0000 0.5000  2 Cl 2.39

As for the symmetry: P4/mmm (123). The calculation puts the formation energy from raw total energies at 665 meV per atom.


No. 7
A geometry-optimized RbHfPCl2 structure. Source: Alexandria, functional PBE.

a = 5.4593 Å, b = 5.4593 Å, c = 5.5805 Å
α = 90.00°, β = 90.00°, γ = 90.00°
Closest atoms and distances in Å follow each position.
Fractional coordinates of all 5 atoms:
P1 0.0000 0.0000 0.5000  2 Rb 2.79
Cl1 0.5000 0.0000 0.0000  2 Rb 2.73
Cl2 0.0000 0.5000 0.0000  2 Rb 2.73
Rb1 0.0000 0.0000 0.0000  4 Cl 2.73, 2 P 2.79
Hf1 0.5000 0.5000 0.5000  4 P 3.86, 8 Cl 3.90

As for the symmetry: P4/mmm (123). The energy above the most stable polymorph in this dataset is 2039 meV per atom. The calculation puts the formation energy from raw total energies at 862 meV per atom.


No. 8
A geometry-optimized Rb2HfPCl structure. Source: Alexandria, functional PBE.

a = 7.3128 Å, b = 4.8359 Å, c = 7.3128 Å
α = 90.00°, β = 90.00°, γ = 90.00°
Closest atoms and distances in Å follow each position.
Fractional coordinates of all 5 atoms:
Rb1 0.0000 0.0000 0.5000  2 Hf 3.66
Rb2 0.5000 0.0000 0.0000  2 Hf 3.66
Hf1 0.0000 0.0000 0.0000  2 P 2.42
P1 0.0000 0.5000 0.0000  2 Hf 2.42
Cl1 0.5000 0.5000 0.5000  8 Rb 4.38, 2 Cl 4.84

As for the symmetry: P4/mmm (123). The calculation puts the formation energy from raw total energies at -163 meV per atom.


No. 9
A geometry-optimized HfRePCl2 structure. Source: Alexandria, functional PBE.

a = 4.6177 Å, b = 4.7872 Å, c = 4.6177 Å
α = 90.00°, β = 90.00°, γ = 90.00°
Closest atoms and distances in Å follow each position.
Fractional coordinates of all 5 atoms:
P1 0.0000 0.0000 0.0000  4 Cl 2.31, 2 Re 2.39
Cl1 0.0000 0.0000 0.5000  2 P 2.31
Cl2 0.5000 0.0000 0.0000  2 P 2.31
Hf1 0.5000 0.5000 0.5000  4 Re 3.27, 8 Cl 3.33
Re1 0.0000 0.5000 0.0000  2 P 2.39

As for the symmetry: P4/mmm (123). The energy above the most stable polymorph in this dataset is 481 meV per atom. The calculation puts the formation energy from raw total energies at 1024 meV per atom.


No. 10
A geometry-optimized HfReP2Cl structure. Source: Alexandria, functional PBE.

a = 4.5850 Å, b = 4.5850 Å, c = 4.8234 Å
α = 90.00°, β = 90.00°, γ = 90.00°
Closest atoms and distances in Å follow each position.
Fractional coordinates of all 5 atoms:
Cl1 0.0000 0.0000 0.5000  2 Re 2.41
Hf1 0.5000 0.5000 0.5000  4 Cl 3.24, 8 P 3.33
P1 0.5000 0.0000 0.0000  2 Re 2.29
P2 0.0000 0.5000 0.0000  2 Re 2.29
Re1 0.0000 0.0000 0.0000  4 P 2.29, 2 Cl 2.41

As for the symmetry: P4/mmm (123). The energy above the most stable polymorph in this dataset is 0 meV per atom. The calculation puts the formation energy from raw total energies at 624 meV per atom.


Which formula does entry 4 have? HfPPtCl2